# 1
# PBE-GGA AcCdCuPd, relaxed
# * energy of formation from the pure elements: -1.299 eV/f.u.
# * final energy: -0.287 Ry per atom
# * E above lowest polymorph: 101 meV/atom
# * crystal system: cubic
data_AcCdCuPd
_chemical_formula_sum 'Ac4 Cd4 Cu4 Pd4'
_cell_length_a 7.1759
_cell_length_b 7.1759
_cell_length_c 7.1759
_cell_angle_alpha 90.00
_cell_angle_beta 90.00
_cell_angle_gamma 90.00
_symmetry_space_group_name_H-M 'F -4 3 m'
_symmetry_Int_Tables_number 216
_symmetry_space_group_name_Hall 'F -4 2 3'
loop_
_atom_site_label
_atom_site_type_symbol
_atom_site_fract_x
_atom_site_fract_y
_atom_site_fract_z
Ac1 Ac 0.0000 0.0000 0.0000
Cd1 Cd 0.0000 0.0000 0.5000
Cu1 Cu 0.2500 0.2500 0.2500
Pd1 Pd 0.2500 0.2500 0.7500



# 2
# PBE-GGA Ac2CdCuPd6, relaxed
# * energy of formation from the pure elements: -4.748 eV/f.u.
# * final energy: -0.361 Ry per atom
# * crystal system: monoclinic
data_Ac2CdCuPd6
_chemical_formula_sum 'Ac4 Cd2 Cu2 Pd12'
_cell_length_a 10.0693
_cell_length_b 5.8136
_cell_length_c 8.9173
_cell_angle_alpha 90.00
_cell_angle_beta 112.17
_cell_angle_gamma 90.00
_symmetry_space_group_name_H-M 'C 1 2/m 1'
_symmetry_Int_Tables_number 12
_symmetry_space_group_name_Hall '-C 2y'
loop_
_atom_site_label
_atom_site_type_symbol
_atom_site_fract_x
_atom_site_fract_y
_atom_site_fract_z
Ac1 Ac 0.2087 0.0000 0.1253
Cd1 Cd 0.0000 0.0000 0.5000
Cu1 Cu 0.0000 0.5000 0.0000
Pd1 Pd 0.0074 0.2469 0.7703
Pd2 Pd 0.2455 0.5000 0.2292



# 3
# PBE-GGA Ac2CdCu2Pd5, relaxed
# * energy of formation from the pure elements: -5.755 eV/f.u.
# * final energy: -0.360 Ry per atom
# * crystal system: tetragonal
data_Ac2CdCu2Pd5
_chemical_formula_sum 'Ac4 Cd2 Cu4 Pd10'
_cell_length_a 9.8630
_cell_length_b 9.8630
_cell_length_c 4.0148
_cell_angle_alpha 90.00
_cell_angle_beta 90.00
_cell_angle_gamma 90.00
_symmetry_space_group_name_H-M 'P 4/m b m'
_symmetry_Int_Tables_number 127
_symmetry_space_group_name_Hall '-P 4 2ab'
loop_
_atom_site_label
_atom_site_type_symbol
_atom_site_fract_x
_atom_site_fract_y
_atom_site_fract_z
Ac1 Ac 0.1794 0.3206 0.0000
Cd1 Cd 0.0000 0.0000 0.0000
Cu1 Cu 0.1171 0.6171 0.0000
Pd1 Pd 0.0000 0.5000 0.5000
Pd2 Pd 0.0650 0.7889 0.5000



# 4
# PBE-GGA Ac3Cd2CuPd6, relaxed
# * energy of formation from the pure elements: -7.301 eV/f.u.
# * final energy: -0.347 Ry per atom
# * crystal system: trigonal
data_Ac3Cd2CuPd6
_chemical_formula_sum 'Ac3 Cd2 Cu1 Pd6'
_cell_length_a 5.8986
_cell_length_b 5.8986
_cell_length_c 9.0544
_cell_angle_alpha 90.00
_cell_angle_beta 90.00
_cell_angle_gamma 120.00
_symmetry_space_group_name_H-M 'P -3 m 1'
_symmetry_Int_Tables_number 164
_symmetry_space_group_name_Hall '-P 3 2"'
loop_
_atom_site_label
_atom_site_type_symbol
_atom_site_fract_x
_atom_site_fract_y
_atom_site_fract_z
Ac1 Ac 0.0000 0.0000 0.0000
Ac2 Ac 0.3333 0.6667 0.6153
Cd1 Cd 0.3333 0.6667 0.0295
Cu1 Cu 0.0000 0.0000 0.5000
Pd1 Pd 0.1705 0.3409 0.2863



# 5
# PBE-GGA AcCd2CuPd4, relaxed
# * energy of formation from the pure elements: -3.426 eV/f.u.
# * final energy: -0.314 Ry per atom
# * crystal system: trigonal
data_AcCd2CuPd4
_chemical_formula_sum 'Ac3 Cd6 Cu3 Pd12'
_cell_length_a 4.5847
_cell_length_b 4.5847
_cell_length_c 26.0328
_cell_angle_alpha 90.00
_cell_angle_beta 90.00
_cell_angle_gamma 120.00
_symmetry_space_group_name_H-M 'R -3 m'
_symmetry_Int_Tables_number 166
_symmetry_space_group_name_Hall '-R 3 2"'
loop_
_atom_site_label
_atom_site_type_symbol
_atom_site_fract_x
_atom_site_fract_y
_atom_site_fract_z
Ac1 Ac 0.0000 0.0000 0.0000
Cd1 Cd 0.0000 0.0000 0.2352
Cu1 Cu 0.0000 0.0000 0.5000
Pd1 Pd 0.0000 0.0000 0.1281
Pd2 Pd 0.0000 0.0000 0.4012



# 6
# PBE-GGA AcPmCdCu, relaxed
# * energy of formation from the pure elements: -0.586 eV/f.u.
# * final energy: -0.266 Ry per atom
# * crystal system: cubic
data_AcPmCdCu
_chemical_formula_sum 'Ac4 Pm4 Cd4 Cu4'
_cell_length_a 7.6893
_cell_length_b 7.6893
_cell_length_c 7.6893
_cell_angle_alpha 90.00
_cell_angle_beta 90.00
_cell_angle_gamma 90.00
_symmetry_space_group_name_H-M 'F -4 3 m'
_symmetry_Int_Tables_number 216
_symmetry_space_group_name_Hall 'F -4 2 3'
loop_
_atom_site_label
_atom_site_type_symbol
_atom_site_fract_x
_atom_site_fract_y
_atom_site_fract_z
Ac1 Ac 0.0000 0.0000 0.0000
Pm1 Pm 0.0000 0.0000 0.5000
Cd1 Cd 0.2500 0.2500 0.2500
Cu1 Cu 0.2500 0.2500 0.7500